Below is an optimized crystal structure of LaBiH3, with properties calculated at the GGA-PBE level.

## Properties
Energy relative to the lowest polymorph listed for this composition, meV per atom: 0.0
Spin magnetization, μB/f.u.: 0.00

extended XYZ file:
```
5
Lattice="4.394 0.000 0.000 0.000 4.394 0.000 0.000 0.000 4.394" Properties=species:S:1:pos:R:3 pbc="T T T"
La 0.000 0.000 0.000
Bi 2.197 2.197 2.197
H 0.000 0.000 2.197
H 0.000 2.197 0.000
H 2.197 0.000 0.000
```



Below is an optimized crystal structure of EuTmScTl, with properties calculated at the GGA-PBE level.

## Properties
Calculated formation energy, eV per atom: 0.018
Spin magnetization, μB/f.u.: 8.96

extended XYZ file:
```
4
Lattice="0.000 3.789 3.789 3.789 0.000 3.789 3.789 3.789 0.000" Properties=species:S:1:pos:R:3 pbc="T T T"
Eu 0.000 0.000 0.000
Tm 1.894 1.894 1.894
Sc 5.683 5.683 5.683
Tl 3.789 3.789 3.789
```



Below is an optimized crystal structure of RbNa8Hg4, with properties calculated at the GGA-PBE level.

## Properties
Calculated formation energy, eV per atom: -0.033
Energy relative to the lowest polymorph listed for this composition, meV per atom: 130.4
Spin magnetization, μB/f.u.: 0.00

extended XYZ file:
```
13
Lattice="0.000 6.161 6.161 6.161 0.000 6.161 6.161 6.161 0.000" Properties=species:S:1:pos:R:3 pbc="T T T"
Rb 0.000 0.000 0.000
Na 4.349 4.349 4.349
Na 7.974 7.974 4.349
Na 7.974 4.349 7.974
Na 10.407 8.077 8.077
Na 8.077 10.407 8.077
Na 8.077 8.077 10.407
Na 10.407 10.407 10.407
Na 4.349 7.974 7.974
Hg 7.372 4.951 4.951
Hg 4.951 7.372 4.951
Hg 4.951 4.951 7.372
Hg 7.372 7.372 7.372
```



Below is an optimized crystal structure of AcSmIn4, with properties calculated at the GGA-PBE level.

## Properties
Calculated formation energy, eV per atom: -0.440
Energy relative to the lowest polymorph listed for this composition, meV per atom: 3.9
Spin magnetization, μB/f.u.: 0.00

extended XYZ file:
```
6
Lattice="-2.417 3.866 4.657 2.417 -3.866 4.657 2.417 3.866 -4.657" Properties=species:S:1:pos:R:3 pbc="T T T"
Ac 0.000 0.000 0.000
Sm 0.000 3.866 1.112
In 2.417 -1.591 1.993
In 2.417 2.361 -0.979
In 2.417 1.591 1.993
In 0.000 1.505 3.677
```



Below is an optimized crystal structure of HfGaBiS2, with properties calculated at the GGA-PBE level.

## Properties
E_form (uncorrected), eV/atom: 0.425
Spin magnetization, μB/f.u.: 0.00

extended XYZ file:
```
5
Lattice="4.644 0.000 0.000 0.000 4.644 0.000 0.000 0.000 5.442" Properties=species:S:1:pos:R:3 pbc="T T T"
Hf 0.000 0.000 0.000
Ga 2.322 2.322 2.721
Bi 2.322 2.322 0.000
S 0.000 2.322 2.721
S 2.322 0.000 2.721
```



Below is an optimized crystal structure of Ca2ThPt2, with properties calculated at the GGA-PBE level.

## Properties
Calculated formation energy, eV per atom: -0.696
Spin magnetization, μB/f.u.: 0.00

extended XYZ file:
```
5
Lattice="3.214 -3.049 0.000 3.214 3.049 0.000 -1.974 0.000 6.484" Properties=species:S:1:pos:R:3 pbc="T T T"
Ca 3.214 1.553 0.000
Ca 3.214 -1.553 0.000
Th 2.227 0.000 3.242
Pt -0.323 0.000 4.462
Pt 4.777 0.000 2.022
```



Below is an optimized crystal structure of AlSbSe3, with properties calculated at the GGA-PBE level.

## Properties
E_form (uncorrected), eV/atom: -0.398
Energy relative to the lowest polymorph listed for this composition, meV per atom: 156.4
Spin magnetization, μB/f.u.: 0.00

extended XYZ file:
```
10
Lattice="7.819 -1.860 0.000 7.819 1.860 0.000 -2.080 0.000 10.582" Properties=species:S:1:pos:R:3 pbc="T T T"
Al 2.591 0.000 0.998
Al 10.967 0.000 9.584
Sb 6.062 0.000 3.588
Sb 7.496 0.000 6.995
Se 1.124 0.000 5.875
Se 5.092 0.000 1.016
Se 4.079 0.000 8.390
Se 9.480 0.000 2.193
Se 8.466 0.000 9.566
Se 12.434 0.000 4.707
```



Below is an optimized crystal structure of SrFeOs, with properties calculated at the GGA-PBE level.

## Properties
Calculated formation energy, eV per atom: 0.413
Energy relative to the lowest polymorph listed for this composition, meV per atom: 129.7
Spin magnetization, μB/f.u.: 0.00

extended XYZ file:
```
6
Lattice="3.940 0.000 0.000 -1.970 3.412 0.000 0.000 0.000 9.952" Properties=species:S:1:pos:R:3 pbc="T T T"
Sr 0.000 0.000 0.000
Sr 0.000 0.000 4.976
Fe 0.000 2.275 2.488
Fe 1.970 1.137 7.464
Os 0.000 2.275 7.464
Os 1.970 1.137 2.488
```



Below is an optimized crystal structure of Mg3S2O, with properties calculated at the GGA-PBE level.

## Properties
E_form (uncorrected), eV/atom: -1.694
Spin magnetization, μB/f.u.: 0.00

extended XYZ file:
```
12
Lattice="3.051 -5.345 0.000 3.051 5.345 0.000 -1.853 0.000 5.634" Properties=species:S:1:pos:R:3 pbc="T T T"
Mg 0.599 2.672 2.817
Mg 1.241 0.745 0.059
Mg 0.314 -0.745 2.876
Mg 1.526 -2.672 0.000
Mg 3.935 0.745 2.758
Mg 3.008 -0.745 5.575
S 2.588 2.652 1.408
S 1.661 0.924 4.225
S 2.588 -0.924 1.408
S 1.661 -2.652 4.225
O 1.661 4.682 4.225
O 2.588 -4.682 1.408
```



Below is an optimized crystal structure of SrCaSb2, with properties calculated at the GGA-PBE level.

## Properties
E_form (uncorrected), eV/atom: -0.774
Energy relative to the lowest polymorph listed for this composition, meV per atom: 50.0
Spin magnetization, μB/f.u.: 0.00

extended XYZ file:
```
4
Lattice="0.000 3.980 3.980 3.980 0.000 3.980 3.980 3.980 0.000" Properties=species:S:1:pos:R:3 pbc="T T T"
Sr 0.000 0.000 0.000
Ca 3.980 3.980 3.980
Sb 1.990 1.990 1.990
Sb 5.969 5.969 5.969
```



Below is an optimized crystal structure of Rb3ErTl3Cl8, with properties calculated at the GGA-PBE level.

## Properties
E_form (uncorrected), eV/atom: -1.588
Spin magnetization, μB/f.u.: 0.00

extended XYZ file:
```
15
Lattice="4.730 2.731 7.570 -4.730 2.731 7.570 0.000 -5.462 7.570" Properties=species:S:1:pos:R:3 pbc="T T T"
Rb -2.365 -1.366 7.570
Rb -2.365 1.366 15.141
Rb 0.000 2.731 7.570
Er 0.000 0.000 11.356
Tl -4.730 0.000 11.356
Tl -2.365 1.366 3.785
Tl 2.365 1.366 3.785
Cl 0.000 0.000 5.702
Cl 0.000 -2.142 9.822
Cl -1.855 1.071 9.822
Cl -1.855 -1.071 12.889
Cl 1.855 1.071 9.822
Cl 1.855 -1.071 12.889
Cl 0.000 2.142 12.889
Cl 0.000 0.000 17.010
```



Below is an optimized crystal structure of SrTb4NdS8, with properties calculated at the GGA-PBE level.

## Properties
E_form (uncorrected), eV/atom: -1.987
Spin magnetization, μB/f.u.: 0.00

extended XYZ file:
```
14
Lattice="4.104 2.369 6.778 -4.104 2.369 6.778 0.000 -4.739 6.778" Properties=species:S:1:pos:R:3 pbc="T T T"
Sr 0.000 0.000 0.000
Tb -2.081 -1.201 9.330
Tb 0.000 0.000 5.114
Tb 2.081 -1.201 9.330
Tb 0.000 2.403 9.330
Nd 0.000 0.000 12.767
S 0.000 -2.262 10.940
S -1.959 1.131 10.940
S 0.000 0.000 7.807
S -1.852 -1.069 14.575
S 1.959 1.131 10.940
S 0.000 0.000 17.525
S 1.852 -1.069 14.575
S 0.000 2.139 14.575
```



Below is an optimized crystal structure of LaDy2Y6Ho3, with properties calculated at the GGA-PBE level.

## Properties
Calculated formation energy, eV per atom: 0.024
Spin magnetization, μB/f.u.: 0.00

extended XYZ file:
```
12
Lattice="3.093 -5.354 0.000 3.093 5.354 0.000 -2.054 0.000 11.652" Properties=species:S:1:pos:R:3 pbc="T T T"
La 0.000 0.000 0.000
Dy 3.093 1.784 0.000
Dy 3.093 -1.784 0.000
Y 1.040 1.791 2.945
Y 0.012 0.000 8.705
Y 1.040 -1.791 2.945
Y 3.093 1.791 8.707
Y 4.121 0.000 2.947
Y 3.093 -1.791 8.707
Ho 2.067 3.565 5.826
Ho 2.067 0.000 5.826
Ho 2.067 -3.565 5.826
```



Below is an optimized crystal structure of Ni3MoH, with properties calculated at the GGA-PBE level.

## Properties
Energy relative to the lowest polymorph listed for this composition, meV per atom: 0.0
Spin magnetization, μB/f.u.: 0.00

extended XYZ file:
```
10
Lattice="4.628 -2.546 0.000 4.628 2.546 0.000 -0.001 0.000 4.270" Properties=species:S:1:pos:R:3 pbc="T T T"
Ni 3.859 1.287 3.219
Ni 5.397 1.287 1.051
Ni 3.082 0.000 1.072
Ni 6.173 0.000 3.198
Ni 3.859 -1.287 3.219
Ni 5.397 -1.287 1.051
Mo 1.650 0.000 3.242
Mo 7.606 0.000 1.028
H -0.001 0.000 2.135
H 4.628 0.000 2.135
```



Below is an optimized crystal structure of PrGdTe2, with properties calculated at the GGA-PBE level.

## Properties
E_form (uncorrected), eV/atom: -1.304
Energy relative to the lowest polymorph listed for this composition, meV per atom: 129.5
Spin magnetization, μB/f.u.: 8.15

extended XYZ file:
```
4
Lattice="0.000 3.866 3.866 3.866 0.000 3.866 3.866 3.866 0.000" Properties=species:S:1:pos:R:3 pbc="T T T"
Pr 0.000 0.000 0.000
Gd 3.866 3.866 3.866
Te 1.933 1.933 1.933
Te 5.799 5.799 5.799
```



Below is an optimized crystal structure of NaZr2Tl, with properties calculated at the GGA-PBE level.

## Properties
Calculated formation energy, eV per atom: 0.307
Energy relative to the lowest polymorph listed for this composition, meV per atom: 0.0
Spin magnetization, μB/f.u.: 0.00

extended XYZ file:
```
4
Lattice="0.000 3.573 3.573 3.573 0.000 3.573 3.573 3.573 0.000" Properties=species:S:1:pos:R:3 pbc="T T T"
Na 0.000 0.000 0.000
Zr 1.787 1.787 1.787
Zr 5.360 5.360 5.360
Tl 3.573 3.573 3.573
```



Below is an optimized crystal structure of LaNi4As, with properties calculated at the GGA-PBE level.

## Properties
Calculated formation energy, eV per atom: -0.212
Spin magnetization, μB/f.u.: 1.37

extended XYZ file:
```
6
Lattice="0.000 3.558 3.558 3.558 0.000 3.558 3.558 3.558 0.000" Properties=species:S:1:pos:R:3 pbc="T T T"
La 0.000 0.000 0.000
Ni 4.442 2.675 2.675
Ni 2.675 4.442 2.675
Ni 2.675 2.675 4.442
Ni 4.442 4.442 4.442
As 1.779 1.779 1.779
```



Below is an optimized crystal structure of BaLiAl3, with properties calculated at the GGA-PBE level.

## Properties
Calculated formation energy, eV per atom: -0.120
Energy relative to the lowest polymorph listed for this composition, meV per atom: 0.0
Spin magnetization, μB/f.u.: 0.00

extended XYZ file:
```
20
Lattice="8.637 0.000 0.000 0.000 4.429 0.000 0.000 0.000 12.334" Properties=species:S:1:pos:R:3 pbc="T T T"
Ba 1.571 1.107 0.018
Ba 2.747 3.322 6.185
Ba 5.890 1.107 6.149
Ba 7.065 3.322 12.316
Li 0.746 1.107 7.589
Li 3.572 3.322 1.422
Li 5.065 1.107 10.912
Li 7.891 3.322 4.745
Al 0.808 1.107 4.570
Al 1.079 3.322 2.779
Al 1.102 3.322 9.563
Al 3.216 1.107 3.396
Al 3.240 1.107 8.946
Al 3.510 3.322 10.737
Al 5.127 1.107 1.597
Al 5.397 3.322 3.388
Al 5.420 3.322 8.938
Al 7.535 1.107 2.771
Al 7.558 1.107 9.555
Al 7.828 3.322 7.764
```



Below is an optimized crystal structure of CaTa2Ni, with properties calculated at the GGA-PBE level.

## Properties
Calculated formation energy, eV per atom: 0.915
Energy relative to the lowest polymorph listed for this composition, meV per atom: 709.3
Spin magnetization, μB/f.u.: 0.00

extended XYZ file:
```
4
Lattice="4.785 0.000 0.000 0.000 4.785 0.000 0.000 0.000 3.118" Properties=species:S:1:pos:R:3 pbc="T T T"
Ca 0.000 0.000 0.000
Ta 0.000 2.392 1.559
Ta 2.392 0.000 1.559
Ni 2.392 2.392 0.000
```



Below is an optimized crystal structure of HoMgAg4, with properties calculated at the GGA-PBE level.

## Properties
Calculated formation energy, eV per atom: -0.215
Energy relative to the lowest polymorph listed for this composition, meV per atom: 0.0
Spin magnetization, μB/f.u.: 0.00

extended XYZ file:
```
6
Lattice="3.658 0.000 0.000 1.820 4.900 0.000 0.002 2.492 6.678" Properties=species:S:1:pos:R:3 pbc="T T T"
Ho 0.000 0.000 0.000
Mg 0.001 1.246 3.339
Ag 1.826 2.110 1.211
Ag 1.829 3.235 4.366
Ag 3.652 4.157 2.313
Ag 3.654 5.282 5.467
```